Computed, not measured: a relaxed structure of SnBiAuN at the PBE level of DFT.

Lattice parameters (Å, degrees): 5.9749 3.4398 8.0267 90.00 90.23 90.00
Closest atoms and distances in Å follow each position.
Space group Cm (No. 8)
Asymmetric unit:
Sn: 0.0000 0.0000 0.0000 [2 per cell]  3 N 2.22
Bi: 0.3360 0.0000 0.4258 [2 per cell]  1 N 2.44
Au: 0.1692 0.5000 0.7399 [2 per cell]  3 Sn 2.87-2.89, 1 Bi 3.21
N: 0.3338 0.0000 0.1222 [2 per cell]  3 Sn 2.22, 1 Bi 2.44

Calculated values
**Uncorrected energy**: -37.024 eV per cell
**Distance to the lowest polymorph of the same formula**: 0 meV/atom
**ΔE_f (raw)**: 244 meV per atom